Compound: Zr4NiP
Source: Alexandria via LeMat-Bulk
Functional: GGA-PBE
Structure: relaxed

a = 5.3159 Å, b = 6.4989 Å, c = 6.4989 Å
α = 90.00°, β = 90.00°, γ = 90.00°
Fractional coordinates of all 12 atoms:
Ni 0.2500 0.0000 0.0000
Ni 0.7500 0.0000 0.0000
Zr 0.5000 0.6603 0.1593
Zr 0.5000 0.8407 0.6603
Zr 0.5000 0.1593 0.3397
Zr 0.0000 0.6603 0.8407
Zr 0.5000 0.3397 0.8407
Zr 0.0000 0.8407 0.3397
Zr 0.0000 0.1593 0.6603
Zr 0.0000 0.3397 0.1593
P 0.7500 0.5000 0.5000
P 0.2500 0.5000 0.5000

Computed properties:
DFT total energy in eV per atom: -8.218
Space group: P4/mcc, No. 124
Crystal system: tetragonal
ΔE_f in eV/atom: -0.654

Compound: SrZrAs3
Source: Alexandria via LeMat-Bulk
Functional: GGA-PBE
Structure: relaxed

a = 5.2231 Å, b = 5.2231 Å, c = 5.2231 Å
α = 90.00°, β = 90.00°, γ = 90.00°
Fractional coordinates of all 5 atoms:
Sr 0.5000 0.5000 0.5000
As 0.0000 0.5000 0.0000
As 0.0000 0.0000 0.5000
As 0.5000 0.0000 0.0000
Zr 0.0000 0.0000 0.0000

Computed properties:
DFT total energy in eV per atom: -5.384
Space group: Pm-3m, No. 221
Energy above the most stable polymorph in this dataset in eV per atom: 0.000
Crystal system: cubic
ΔE_f in eV/atom: -0.548

Compound: Pm2SnBi3
Source: Alexandria via LeMat-Bulk
Functional: GGA-PBE
Structure: relaxed

a = 4.4718 Å, b = 6.5252 Å, c = 8.0841 Å
α = 113.80°, β = 106.06°, γ = 90.00°
Fractional coordinates of all 6 atoms:
Pm 0.6647 0.1647 0.3295
Pm 0.3353 0.8353 0.6705
Sn 0.0000 0.5000 0.0000
Bi 0.3311 0.3311 0.6621
Bi 0.0000 0.0000 0.0000
Bi 0.6689 0.6689 0.3379

Computed properties:
DFT total energy in eV per atom: -4.673
Space group: Immm, No. 71
Crystal system: orthorhombic
ΔE_f in eV/atom: -0.482

Compound: SmHo6Er5
Source: Alexandria via LeMat-Bulk
Functional: GGA-PBE
Structure: relaxed

a = 6.1039 Å, b = 6.0993 Å, c = 11.6772 Å
α = 85.02°, β = 80.02°, γ = 59.97°
Fractional coordinates of all 12 atoms:
Ho 0.5828 0.3339 0.2513
Ho 0.0833 0.3339 0.7487
Ho 0.7494 0.0000 0.7490
Ho 0.2506 0.0000 0.2510
Ho 0.9167 0.6661 0.2513
Ho 0.4172 0.6661 0.7487
Sm 0.0000 0.0000 0.0000
Er 0.1669 0.6662 0.5000
Er 0.3332 0.3335 0.0000
Er 0.5000 0.0000 0.5000
Er 0.6668 0.6665 0.0000
Er 0.8331 0.3338 0.5000

Computed properties:
DFT total energy in eV per atom: -4.563
Space group: C2/m, No. 12
Crystal system: monoclinic
ΔE_f in eV/atom: 0.020

Compound: SrHg2Cl6
Source: Alexandria via LeMat-Bulk
Functional: GGA-PBE
Structure: relaxed

a = 4.3250 Å, b = 7.2638 Å, c = 10.1993 Å
α = 93.17°, β = 90.00°, γ = 107.32°
Fractional coordinates of all 9 atoms:
Sr 0.0000 0.0000 0.5000
Hg 0.7521 0.5041 0.7824
Hg 0.2479 0.4959 0.2176
Cl 0.9270 0.8539 0.7631
Cl 0.8217 0.6433 0.1290
Cl 0.1783 0.3567 0.8710
Cl 0.6369 0.2739 0.5594
Cl 0.3631 0.7261 0.4406
Cl 0.0730 0.1461 0.2369

Computed properties:
DFT total energy in eV per atom: -2.662
Formation energy from raw total energies in eV/atom: -1.177
Space group: C2/m, No. 12
Crystal system: monoclinic

Compound: ScCuCl6
Source: Alexandria via LeMat-Bulk
Functional: GGA-PBE
Structure: relaxed

a = 7.6525 Å, b = 8.1946 Å, c = 6.5934 Å
α = 60.45°, β = 60.99°, γ = 39.94°
Fractional coordinates of all 8 atoms:
Sc 0.5000 0.5000 0.5000
Cu 0.0000 0.0000 0.0000
Cl 0.1315 0.5220 0.6617
Cl 0.7166 0.1033 0.8488
Cl 0.6430 0.2084 0.2864
Cl 0.2834 0.8967 0.1512
Cl 0.8685 0.4780 0.3382
Cl 0.3570 0.7916 0.7136

Computed properties:
DFT total energy in eV per atom: -3.811
Formation energy from raw total energies in eV/atom: -1.123
Space group: P-1, No. 2
Crystal system: triclinic

> Look up the DFT total energy of the sixth one.

-3.811 eV per atom

> Among the records above, which one has the lowest DFT total energy?

Zr4NiP

> What is the DFT total energy in the first record?

-8.218 eV per atom